# 1
Compound: CdNiP2
Source: Alexandria via LeMat-Bulk
Functional: PBE-GGA
Structure: optimized geometry

Uncorrected energy   -4.2014 eV per atom
Energy relative to the elements   0.178 eV/atom
Crystal system   orthorhombic

Cell lengths 3.7066, 4.6451, 9.5101 Å; angles 90.00, 90.00, 90.00 degrees
Space group Immm (No. 71)
Unique sites:
Cd (0.0000, 0.0000, 0.0000)
Ni (0.0000, 0.0000, 0.5000)
P (0.0000, 0.5000, 0.1318)


# 2
Compound: Ce2HoNiS5
Source: Alexandria via LeMat-Bulk
Functional: PBE-GGA
Structure: optimized geometry

Raw formation energy   -1758 meV/atom
Uncorrected energy   -6.5207 eV per atom
Crystal system   orthorhombic

Cell lengths 3.8193, 16.3781, 11.7975 Å; angles 90.00, 90.00, 90.00 degrees
Space group Cmc2_1 (No. 36)
Unique sites:
Ce (0.0000, 0.1109, 0.0000)
Ce (0.0000, 0.1183, 0.3471)
Ho (0.0000, 0.1763, 0.6767)
Ni (0.0000, 0.4486, 0.0675)
S (0.0000, 0.0135, 0.6607)
S (0.0000, 0.3041, 0.3403)
S (0.0000, 0.3154, 0.0116)
S (0.0000, 0.3423, 0.6715)
S (0.0000, 0.4960, 0.3983)


# 3
Compound: SnPt2Pb
Source: Alexandria via LeMat-Bulk
Functional: PBE-GGA
Structure: optimized geometry

Uncorrected energy   -5.3712 eV per atom
Energy relative to the elements   -0.423 eV/atom
Crystal system   orthorhombic

Cell lengths 8.5258, 7.3925, 5.5460 Å; angles 90.00, 90.00, 90.00 degrees
Space group Pbcm (No. 57)
Unique sites:
Sn (0.1237, 0.0767, 0.2500)
Pt (0.1109, 0.7500, 0.0000)
Pt (0.3581, 0.2500, 0.0000)
Pb (0.3754, 0.5885, 0.2500)


# 4
Compound: Ce2ScIn
Source: Alexandria via LeMat-Bulk
Functional: PBE-GGA
Structure: optimized geometry

Uncorrected energy   -5.3175 eV per atom
Energy relative to the elements   -0.083 eV/atom
Crystal system   tetragonal
ΔE to the lowest computed polymorph   0.176 eV per atom

Cell lengths 4.1606, 4.1606, 6.4863 Å; angles 90.00, 90.00, 90.00 degrees
Space group P4/mmm (No. 123)
Unique sites:
Ce (0.0000, 0.0000, 0.2232)
Sc (0.5000, 0.5000, 0.5000)
In (0.5000, 0.5000, 0.0000)


# 5
Compound: Cs3Pb5Br12
Source: Alexandria via LeMat-Bulk
Functional: PBE-GGA
Structure: optimized geometry

Raw formation energy   -1086 meV/atom
Uncorrected energy   -3.1448 eV per atom
Crystal system   cubic

Cell lengths 19.4878, 19.4878, 19.4878 Å; angles 90.00, 90.00, 90.00 degrees
Space group Ia-3d (No. 230)
Unique sites:
Cs (0.0000, 0.2500, 0.1250)
Pb (0.0000, 0.0000, 0.0000)
Pb (0.0000, 0.2500, 0.3750)
Br (0.0298, 0.0550, 0.6455)


# 6
Compound: CaTl2Mo
Source: Alexandria via LeMat-Bulk
Functional: PBE-GGA
Structure: optimized geometry

Uncorrected energy   -3.9774 eV per atom
Energy relative to the elements   0.414 eV/atom
Crystal system   monoclinic
ΔE to the lowest computed polymorph   0.074 eV per atom

Cell lengths 9.9072, 3.1602, 6.1266 Å; angles 90.00, 98.38, 90.00 degrees
Space group C2/m (No. 12)
Unique sites:
Ca (0.0000, 0.0000, 0.0000)
Tl (0.2416, 0.0000, 0.7202)
Mo (0.0000, 0.5000, 0.5000)